Entry 1:
# Tb2Ni12P3Pd, optimized geometry, DFT GGA-PBE
# Electronic total energy ... -5.66 eV per atom
# Theoretical density ... 8.27 Mg/m³
# Formation energy ... -0.097 eV/atom
# Magnetic moment ... 0.0 Bohr magnetons per cell
# D(E_F) ... 20.65 states/eV/f.u.
data_Tb2Ni12P3Pd
_cell_length_a 8.5587
_cell_length_b 8.5587
_cell_length_c 11.5941
_cell_angle_alpha 90.00
_cell_angle_beta 90.00
_cell_angle_gamma 120.00
_symmetry_space_group_name_H-M 'R -3 m'
_symmetry_Int_Tables_number 166
_symmetry_space_group_name_Hall '-R 3 2"'
loop_
_atom_site_label
_atom_site_type_symbol
_atom_site_fract_x
_atom_site_fract_y
_atom_site_fract_z
Tb1 Tb 0.0000 0.0000 0.1959
Ni1 Ni 0.9996 0.4998 0.1862
Ni2 Ni 0.0098 0.5049 0.6125
P1 P 0.0000 0.5000 0.0000
Pd1 Pd 0.0000 0.0000 0.5000

Entry 2:
# Pm4TlHg2, optimized geometry, DFT GGA-PBE
# E above lowest polymorph ... 0.000 eV per atom
# Electronic total energy ... -3.45 eV per atom
# Theoretical density ... 9.05 Mg/m³
# Formation energy ... -0.307 eV/atom
# Magnetic moment ... 1.7 Bohr magnetons per cell
# D(E_F) ... 7.98 states/eV/f.u.
data_Pm4TlHg2
_cell_length_a 7.592
_cell_length_b 7.592
_cell_length_c 7.551
_cell_angle_alpha 90.00
_cell_angle_beta 90.00
_cell_angle_gamma 90.00
_symmetry_space_group_name_H-M 'I 4/m m m'
_symmetry_Int_Tables_number 139
_symmetry_space_group_name_Hall '-I 4 2'
loop_
_atom_site_label
_atom_site_type_symbol
_atom_site_fract_x
_atom_site_fract_y
_atom_site_fract_z
Pm1 Pm 0.250 0.250 0.250
Tl1 Tl 0.000 0.000 0.000
Hg1 Hg 0.000 0.500 0.000